Computed, not measured: Pr3WC4 after structural relaxation at the PBE-GGA level of DFT.

Summary:
Space group ... Pmn2_1
Spin magnetization ... 0.00 μB per formula unit
Formation enthalpy at 0 K ... 0.1036 eV/atom

POSCAR file:
```
Pr3WC4
1.0
-4.9633 1.6474 -2.2129
-3.2578 -5.1401 3.4803
-1.1371 4.9347 6.2238
Pr C W
6 8 2
Cartesian
-4.0005 0.4353 1.5479
-2.6230 -2.1797 3.7972
-4.5607 2.8665 4.6142
-5.4310 -3.5273 1.8045
-1.1938 1.7833 3.5400
-3.1998 0.3238 6.9547
-4.0572 -1.4591 5.5878
-3.3130 -4.4803 2.9471
-3.7772 2.8908 2.1899
-1.6744 -0.3963 2.2431
-2.3201 2.4062 5.7776
-5.4628 -1.1776 2.8729
-5.9542 0.9547 5.5622
-3.9033 0.1585 -0.8388
-0.6163 -0.9018 0.6024
-5.7656 -0.9227 4.8503
```